Tm2TlH: optimized geometry, PBE-GGA.

Calculated values
The energy relative to the lowest polymorph listed for this composition is 0.000 eV/atom. As for the symmetry: P4/nmm, No. 129. As for the total magnetic moment: 0.0 μB/f.u.

The structure in POSCAR format:
```
Tm2TlH
1.0
4.484 0.000 -0.003
0.000 4.484 -0.003
0.003 0.003 8.340
H Tm Tl
2 4 2
Direct
0.750 0.750 0.581
0.250 0.250 0.419
0.750 0.750 0.847
0.250 0.750 0.500
0.250 0.250 0.153
0.750 0.250 0.500
0.750 0.750 0.219
0.250 0.250 0.781
```